Record 1
Crystalline ScB2C at its relaxed geometry. Source: Alexandria, functional GGA-PBEsol.

Properties
Its formation energy is -0.636 eV/atom.

Unit cell a=6.620 b=6.620 c=6.670 alpha=90.00 beta=90.00 gamma=90.00
Space group P4_2/mbc (No. 135)
One atom of each set of equivalent atoms:
Sc1 0.192 0.308 0.250 (multiplicity 8)
B1 0.033 0.847 0.000 (multiplicity 8)
B2 0.092 0.596 0.000 (multiplicity 8)
C1 0.040 0.821 0.500 (multiplicity 8)

=====

Record 2
Crystalline Sr2BCSe at its relaxed geometry. Source: Alexandria, functional GGA-PBEsol.

Properties
The formation energy from raw total energies is -0.541 eV/atom.

Unit cell a=5.443 b=5.443 c=3.112 alpha=90.00 beta=90.00 gamma=90.00
Space group P4/mmm (No. 123)
One atom of each set of equivalent atoms:
Sr1 0.000 0.500 0.000 (multiplicity 2)
B1 0.000 0.000 0.500 (multiplicity 1)
C1 0.000 0.000 0.000 (multiplicity 1)
Se1 0.500 0.500 0.500 (multiplicity 1)

=====

Record 3
Crystalline Si3BC at its relaxed geometry. Source: Alexandria, functional GGA-PBEsol.

Properties
The formation energy from raw total energies is 1.304 eV/atom.

Unit cell a=3.906 b=3.906 c=3.906 alpha=90.00 beta=90.00 gamma=90.00
Space group Pm-3m (No. 221)
One atom of each set of equivalent atoms:
Si1 0.000 0.000 0.500 (multiplicity 3)
B1 0.500 0.500 0.500 (multiplicity 1)
C1 0.000 0.000 0.000 (multiplicity 1)